# 1
# NaBeSi2B

Crystalline NaBeSi2B at its relaxed geometry (GGA-PBE, the Alexandria database).

abc: 4.3496 4.3496 3.7877
angles: 90.00 90.00 90.00
Space group P4/mmm (No. 123)
Symmetry-distinct sites (fractional):
Na: 0.0000 0.0000 0.0000 x1
Be: 0.5000 0.5000 0.0000 x1
Si: 0.0000 0.5000 0.5000 x2
B: 0.5000 0.5000 0.5000 x1

Values from the calculation:
Uncorrected energy   -3.859 eV per atom
Formation energy without anion corrections   0.654 eV/atom
Fermi-level density of states   1.61 states/eV/f.u.
Crystal system   tetragonal

***

# 2
# AlBH3

Crystalline AlBH3 at its relaxed geometry (GGA-PBE, the Alexandria database).

abc: 3.2102 3.2102 3.2102
angles: 90.00 90.00 90.00
Space group Pm-3m (No. 221)
Symmetry-distinct sites (fractional):
Al: 0.0000 0.0000 0.0000 x1
B: 0.5000 0.5000 0.5000 x1
H: 0.0000 0.5000 0.5000 x3

Values from the calculation:
Uncorrected energy   -3.303 eV per atom
Fermi-level density of states   1.23 states/eV/f.u.
Crystal system   cubic

***

# 3
# GdPuIrPt

Crystalline GdPuIrPt at its relaxed geometry (GGA-PBE, the Alexandria database).

abc: 6.9720 6.9720 6.9720
angles: 90.00 90.00 90.00
Space group F-43m (No. 216)
Symmetry-distinct sites (fractional):
Gd: 0.0000 0.0000 0.0000 x4
Pu: 0.0000 0.0000 0.5000 x4
Ir: 0.2500 0.2500 0.7500 x4
Pt: 0.2500 0.2500 0.2500 x4

Values from the calculation:
Uncorrected energy   -11.571 eV per atom
Fermi-level density of states   10.26 states/eV/f.u.
Formation energy   -743 meV per atom
Crystal system   cubic

***

# 4
# Pm5NpCo4

Crystalline Pm5NpCo4 at its relaxed geometry (GGA-PBE, the Alexandria database).

abc: 17.8913 4.0734 7.1719
angles: 90.00 113.28 90.00
Space group C2/m (No. 12)
Symmetry-distinct sites (fractional):
Pm: 0.0000 0.0000 0.0000 x2
Pm: 0.1565 0.5000 0.7727 x4
Pm: 0.1804 0.5000 0.2948 x4
Np: 0.0000 0.0000 0.5000 x2
Co: 0.0202 0.5000 0.3326 x4
Co: 0.1315 0.0000 0.4777 x4

Values from the calculation:
Uncorrected energy   -6.575 eV per atom
Fermi-level density of states   13.19 states/eV/f.u.
Formation energy   -63 meV per atom
Crystal system   monoclinic

***

# 5
# AlIn4Re

Crystalline AlIn4Re at its relaxed geometry (GGA-PBE, the Alexandria database).

abc: 8.0894 8.0894 8.0894
angles: 90.00 90.00 90.00
Space group F-43m (No. 216)
Symmetry-distinct sites (fractional):
Al: 0.0000 0.0000 0.0000 x4
In: 0.1245 0.1245 0.6245 x16
Re: 0.2500 0.2500 0.2500 x4

Values from the calculation:
Uncorrected energy   -3.608 eV per atom
Fermi-level density of states   4.42 states/eV/f.u.
Formation energy   916 meV per atom
Crystal system   cubic

***

# 6
# ThZn3CuPd

Crystalline ThZn3CuPd at its relaxed geometry (GGA-PBE, the Alexandria database).

abc: 6.2301 12.6664 5.6209
angles: 90.00 90.00 90.00
Space group Cmcm (No. 63)
Symmetry-distinct sites (fractional):
Th: 0.0000 0.2099 0.2500 x4
Zn: 0.0000 0.3589 0.7500 x4
Zn: 0.2011 0.0000 0.0000 x8
Cu: 0.0000 0.1450 0.7500 x4
Pd: 0.0000 0.4176 0.2500 x4

Values from the calculation:
Uncorrected energy   -3.628 eV per atom
Fermi-level density of states   3.09 states/eV/f.u.
Formation energy   -206 meV per atom
Crystal system   orthorhombic

***

# 7
# Sr2In2Bi3

Crystalline Sr2In2Bi3 at its relaxed geometry (GGA-PBE, the Alexandria database).

abc: 17.2876 4.9169 14.5224
angles: 90.00 125.52 90.00
Space group C2/m (No. 12)
Symmetry-distinct sites (fractional):
Sr: 0.0889 0.0000 0.3268 x4
Sr: 0.1450 0.0000 0.0539 x4
In: 0.0725 0.5000 0.6702 x4
In: 0.2462 0.0000 0.6859 x4
Bi: 0.0419 0.5000 0.1326 x4
Bi: 0.1532 0.5000 0.5305 x4
Bi: 0.1657 0.0000 0.8276 x4

Values from the calculation:
Uncorrected energy   -3.395 eV per atom
Fermi-level density of states   1.44 states/eV/f.u.
Formation energy   -469 meV per atom
Crystal system   monoclinic

***

# 8
# Nd4MgTlZn2

Crystalline Nd4MgTlZn2 at its relaxed geometry (GGA-PBE, the Alexandria database).

abc: 5.3460 5.3460 26.5595
angles: 90.00 90.00 120.00
Space group R-3m (No. 166, hexagonal axes)
Symmetry-distinct sites (fractional):
Nd: 0.0000 0.0000 0.1238 x6
Nd: 0.0000 0.0000 0.3748 x6
Mg: 0.0000 0.0000 0.0000 x3
Tl: 0.0000 0.0000 0.5000 x3
Zn: 0.0000 0.0000 0.2565 x6

Values from the calculation:
Uncorrected energy   -3.451 eV per atom
Fermi-level density of states   9.22 states/eV/f.u.
Formation energy   -253 meV per atom
Crystal system   trigonal

***

Copy entry 7 word for word.
# Sr2In2Bi3

Crystalline Sr2In2Bi3 at its relaxed geometry (GGA-PBE, the Alexandria database).

abc: 17.2876 4.9169 14.5224
angles: 90.00 125.52 90.00
Space group C2/m (No. 12)
Symmetry-distinct sites (fractional):
Sr: 0.0889 0.0000 0.3268 x4
Sr: 0.1450 0.0000 0.0539 x4
In: 0.0725 0.5000 0.6702 x4
In: 0.2462 0.0000 0.6859 x4
Bi: 0.0419 0.5000 0.1326 x4
Bi: 0.1532 0.5000 0.5305 x4
Bi: 0.1657 0.0000 0.8276 x4

Values from the calculation:
Uncorrected energy   -3.395 eV per atom
Fermi-level density of states   1.44 states/eV/f.u.
Formation energy   -469 meV per atom
Crystal system   monoclinic

***

> The lowest uncorrected energy belongs to which entry?

GdPuIrPt

***

> Look up the uncorrected energy of the first one.

-3.859 eV per atom